This record from the Alexandria database describes NaNdHgGe after structural relaxation. The functional is GGA-PBE.

Unit cell a=7.363 b=7.363 c=7.363 alpha=90.00 beta=90.00 gamma=90.00
Space group F-43m (No. 216)
Unique sites:
Na: 0.000 0.000 0.000 (multiplicity 4)
Nd: 0.000 0.000 0.500 (multiplicity 4)
Hg: 0.250 0.250 0.750 (multiplicity 4)
Ge: 0.250 0.250 0.250 (multiplicity 4)

Energy of formation: -0.41 eV/atom
E_tot: -3.161 eV/atom